No. 1
VASP calculation (PBE) on a relaxed ThZnPd crystal.

a = 4.693 Å, b = 4.693 Å, c = 4.693 Å
α = 60.00°, β = 60.00°, γ = 60.00°
Sites, in units of the cell vectors:
Zn 0.000 0.000 0.000
Th 0.500 0.500 0.500
Pd 0.250 0.250 0.250

## Properties
The formation energy from the elements comes out at -451 meV/atom. As for the theoretical density: 9.18 Mg/m³. The value obtained for the total magnetization is 0.0000 μB/atom.

No. 2
VASP calculation (PBE) on a relaxed ThZnPd crystal.

a = 4.547 Å, b = 5.562 Å, c = 5.994 Å
α = 74.30°, β = 67.71°, γ = 65.87°
Sites, in units of the cell vectors:
Th 0.459 0.784 0.298
Th 0.541 0.216 0.702
Zn 0.837 0.224 0.102
Zn 0.163 0.776 0.898
Pd 0.826 0.647 0.700
Pd 0.174 0.353 0.300

## Properties
The formation energy from the elements comes out at -621 meV/atom. As for the theoretical density: 10.58 Mg/m³. The value obtained for the total magnetization is 0.0000 μB/atom.

No. 3
VASP calculation (PBE) on a relaxed ThZn4Pd15 crystal.

a = 4.264 Å, b = 4.264 Å, c = 17.392 Å
α = 90.00°, β = 90.00°, γ = 90.00°
Sites, in units of the cell vectors:
Pd 0.500 0.000 0.689
Pd 0.000 0.500 0.117
Pd 0.500 0.500 0.406
Pd 0.500 0.000 0.500
Pd 0.500 0.000 0.117
Pd 0.500 0.000 0.883
Pd 0.500 0.500 0.594
Pd 0.000 0.500 0.500
Pd 0.500 0.500 0.785
Pd 0.000 0.500 0.689
Pd 0.500 0.500 0.000
Pd 0.000 0.500 0.311
Pd 0.500 0.500 0.215
Pd 0.000 0.500 0.883
Pd 0.500 0.000 0.311
Th 0.000 0.000 0.000
Zn 0.000 0.000 0.216
Zn 0.000 0.000 0.405
Zn 0.000 0.000 0.595
Zn 0.000 0.000 0.784

## Properties
The formation energy from the elements comes out at -431 meV/atom. As for the theoretical density: 10.97 Mg/m³. The value obtained for the total magnetization is 0.0000 μB/atom.

No. 4
VASP calculation (PBE) on a relaxed ThZn2Pd2 crystal.

a = 3.893 Å, b = 3.893 Å, c = 6.928 Å
α = 106.32°, β = 106.32°, γ = 90.00°
Sites, in units of the cell vectors:
Th 0.000 0.000 0.000
Zn 0.250 0.750 0.500
Zn 0.750 0.250 0.500
Pd 0.393 0.393 0.786
Pd 0.607 0.607 0.214

## Properties
The formation energy from the elements comes out at -598 meV/atom. As for the theoretical density: 9.92 Mg/m³. The value obtained for the total magnetization is 0.0000 μB/atom. The value obtained for the relative energy among the computed polymorphs is 0 meV per atom.